PBEsol BaLi2P, optimized geometry; SG = Pmm2 (25); total energy = -3.31 eV/atom; M_tot = 0.0 μB/f.u.; crystal system = orthorhombic; D(E_F) = 1.78 states/eV/cell; energy of formation = -0.35 eV/atom
1.0
3.404 0.000 0.000
0.000 3.953 0.000
0.000 0.000 7.431
Ba Li P
1 2 1
Cartesian
0.000 0.000 0.000
0.000 0.000 4.447
1.702 1.976 3.060
1.702 1.976 5.532

PBEsol LaTaTiO6, optimized geometry; SG = C2 (5); ΔE_f (raw) = -3.1951 eV/atom; total energy = -9.61 eV/atom; energy above the lowest structure with this stoichiometry = 22.3 meV/atom; M_tot = 0.0 μB/f.u.; crystal system = monoclinic; D(E_F) = 0.00 states/eV/cell
1.0
5.559 -4.400 0.000
5.559 4.400 0.000
-2.226 0.000 4.769
La Ta Ti O
2 2 2 12
Cartesian
0.000 0.000 0.000
4.446 -1.069 2.384
1.044 -2.016 3.307
7.847 -2.016 1.462
1.153 0.940 3.834
7.739 0.940 0.935
2.402 2.379 3.420
-0.167 -0.569 3.692
3.523 0.925 1.004
6.490 2.379 1.349
2.346 -0.461 3.433
5.368 0.925 3.765
3.795 -2.383 0.457
6.545 -0.461 1.336
2.694 -3.078 2.837
5.097 -2.383 4.312
9.058 -0.569 1.077
6.198 -3.078 1.932

PBEsol KZnFe, optimized geometry; SG = P3m1 (156); total energy = -3.04 eV/atom; energy above the lowest structure with this stoichiometry = 0.0 meV/atom; M_tot = 2.3 μB/f.u.; crystal system = trigonal; D(E_F) = 2.64 states/eV/cell; energy of formation = 0.85 eV/atom
1.0
2.829 0.000 0.000
-1.415 2.450 0.000
0.000 0.000 7.744
K Zn Fe
1 1 1
Cartesian
0.000 0.000 0.000
0.000 1.633 4.795
1.415 0.817 2.808

PBEsol BeAs2Ru, optimized geometry; SG = Amm2 (38); total energy = -6.15 eV/atom; M_tot = 0.0 μB/f.u.; crystal system = orthorhombic; D(E_F) = 2.12 states/eV/cell; energy of formation = -0.05 eV/atom
1.0
3.909 0.000 0.000
0.000 1.676 4.312
0.000 -1.676 4.312
Be As Ru
1 2 1
Cartesian
0.000 0.000 0.000
0.000 0.000 2.318
1.955 0.000 4.837
1.955 0.000 7.333

PBEsol CaAl2Ni, optimized geometry; SG = P4mm (99); total energy = -4.35 eV/atom; M_tot = 0.0 μB/f.u.; crystal system = tetragonal; D(E_F) = 2.57 states/eV/cell; energy of formation = -0.23 eV/atom
1.0
3.142 0.000 0.000
0.000 3.142 0.000
0.000 0.000 7.090
Ca Al Ni
1 2 1
Cartesian
0.000 0.000 0.000
0.000 0.000 3.077
1.571 1.571 4.776
1.571 1.571 2.121

PBEsol ZrReNi2, optimized geometry; SG = I4/mmm (139); total energy = -8.79 eV/atom; energy above the lowest structure with this stoichiometry = 0.0 meV/atom; M_tot = 0.0 μB/f.u.; crystal system = tetragonal; D(E_F) = 4.46 states/eV/cell; energy of formation = -0.11 eV/atom
1.0
-1.924 1.924 3.725
1.924 -1.924 3.725
1.924 1.924 -3.725
Zr Re Ni
1 1 2
Cartesian
0.000 0.000 0.000
0.000 0.000 3.725
1.924 0.000 1.863
0.000 1.924 1.863

PBEsol Y2CuTcPb, optimized geometry; SG = P4/mmm (123); total energy = -6.22 eV/atom; M_tot = 0.0 μB/f.u.; crystal system = tetragonal; D(E_F) = 3.68 states/eV/cell; energy of formation = 0.43 eV/atom
1.0
5.184 0.000 0.000
0.000 5.184 0.000
0.000 0.000 5.158
Y Cu Tc Pb
2 1 1 1
Cartesian
0.000 2.592 0.000
2.592 0.000 0.000
0.000 0.000 2.579
2.592 2.592 0.000
2.592 2.592 2.579

PBEsol YBSe2, optimized geometry; SG = R-3m (166); ΔE_f (raw) = 0.1551 eV/atom; total energy = -5.23 eV/atom; M_tot = 0.0 μB/f.u.; crystal system = trigonal; D(E_F) = 2.59 states/eV/cell
1.0
1.690 0.976 8.093
-1.690 0.976 8.093
0.000 -1.951 8.093
Y B Se
1 1 2
Cartesian
0.000 0.000 0.000
0.000 0.000 12.139
0.000 0.000 2.797
0.000 0.000 21.481

PBEsol FeRu3W, optimized geometry; SG = Pm-3m (221); total energy = -8.67 eV/atom; M_tot = 5.3 μB/f.u.; crystal system = cubic; D(E_F) = 5.34 states/eV/cell; energy of formation = 1.99 eV/atom
1.0
4.575 0.000 0.000
0.000 4.575 0.000
0.000 0.000 4.575
Fe Ru W
1 3 1
Cartesian
0.000 0.000 0.000
0.000 2.288 2.288
2.288 0.000 2.288
2.288 2.288 0.000
2.288 2.288 2.288

PBEsol HoFe3, optimized geometry; SG = R-3m (166); total energy = -8.04 eV/atom; M_tot = 4.8 μB/f.u.; crystal system = trigonal; D(E_F) = 10.65 states/eV/cell; energy of formation = -0.08 eV/atom
1.0
2.469 1.425 7.915
-2.469 1.425 7.915
0.000 -2.851 7.915
Ho Fe
3 9
Cartesian
0.000 0.000 0.000
0.000 0.000 3.372
0.000 0.000 20.373
-1.236 -0.714 9.847
0.000 0.000 7.903
0.000 -1.428 13.899
-1.236 0.714 13.899
0.000 0.000 11.873
1.236 -0.714 9.847
0.000 1.428 9.847
0.000 0.000 15.842
1.236 0.714 13.899

PBEsol B8O, optimized geometry; SG = Cm (8); ΔE_f (raw) = -0.5548 eV/atom; total energy = -7.37 eV/atom; energy above the lowest structure with this stoichiometry = 0.0 meV/atom; M_tot = 0.0 μB/f.u.; crystal system = monoclinic; D(E_F) = 0.00 states/eV/cell
1.0
4.380 -2.647 0.000
4.380 2.647 0.000
-3.139 0.000 8.540
B O
24 3
Cartesian
0.000 0.000 0.000
0.913 1.749 5.633
0.079 0.000 2.973
3.852 1.770 1.464
2.423 0.878 1.407
1.814 0.000 0.008
2.373 0.899 5.592
1.905 0.000 2.841
3.842 1.494 4.708
5.303 1.254 0.547
3.842 1.405 6.483
5.369 1.266 2.290
2.423 -0.878 1.407
2.905 0.000 4.179
2.946 0.000 7.017
0.913 -1.749 5.633
2.373 -0.899 5.592
4.682 0.000 4.261
3.852 -1.770 1.464
4.748 0.000 7.078
5.303 -1.254 0.547
3.842 -1.494 4.708
5.369 -1.266 2.290
3.842 -1.405 6.483
-0.598 0.000 7.265
2.191 0.000 8.303
5.422 0.000 3.015

PBEsol Sr4CaMn2S2O6, optimized geometry; SG = P-4m2 (115); ΔE_f (raw) = -2.2723 eV/atom; total energy = -6.89 eV/atom; M_tot = 8.0 μB/f.u.; crystal system = tetragonal; D(E_F) = 2.84 states/eV/cell
1.0
3.843 0.000 0.000
0.000 3.843 0.000
0.000 0.000 16.692
Sr Ca Mn S O
4 1 2 2 6
Cartesian
0.000 1.922 1.355
0.000 1.922 4.946
1.922 0.000 11.746
1.922 0.000 15.337
1.922 1.922 8.346
0.000 1.922 13.654
1.922 0.000 3.038
0.000 1.922 10.224
1.922 0.000 6.469
0.000 0.000 3.306
0.000 0.000 13.387
0.000 1.922 15.601
1.922 0.000 1.091
1.922 1.922 3.308
1.922 1.922 13.384